VASP calculation (PBE-GGA) on a geometry-optimized Be3CuRh2 structure.

Calculated values
SG ... P4/mmm, No. 123
Energy above the most stable polymorph in this dataset ... 60 meV/atom

Lattice parameters (Å, degrees): 2.807 2.807 8.075 90.00 90.00 90.00
Positions (direct):
Rh: 0.500 0.500 0.826
Rh: 0.500 0.500 0.174
Be: 0.000 0.000 0.000
Cu: 0.500 0.500 0.500
Be: 0.000 0.000 0.325
Be: 0.000 0.000 0.675

=====

VASP calculation (PBE-GGA) on a geometry-optimized Tb6Dy4Tm19 structure.

Calculated values
SG ... I23, No. 197

Lattice parameters (Å, degrees): 10.642 10.642 10.642 109.47 109.47 109.47
Positions (direct):
Tm: 0.787 0.984 0.324
Dy: 0.000 0.000 0.642
Tb: 0.128 0.628 0.500
Tm: 0.537 0.197 0.213
Tm: 0.260 0.260 0.000
Tm: 0.676 0.660 0.463
Tb: 0.500 0.128 0.628
Tm: 0.740 0.740 0.000
Tm: 0.660 0.463 0.676
Tm: 0.197 0.213 0.537
Tb: 0.872 0.372 0.500
Tm: 0.000 0.000 0.000
Tm: 0.984 0.324 0.787
Tm: 0.213 0.537 0.197
Dy: 0.642 0.000 0.000
Tb: 0.372 0.500 0.872
Tm: 0.016 0.803 0.340
Tm: 0.463 0.676 0.660
Tm: 0.000 0.260 0.260
Tm: 0.324 0.787 0.984
Tm: 0.803 0.340 0.016
Tb: 0.628 0.500 0.128
Tm: 0.260 0.000 0.260
Tb: 0.500 0.872 0.372
Tm: 0.740 0.000 0.740
Tm: 0.340 0.016 0.803
Dy: 0.358 0.358 0.358
Tm: 0.000 0.740 0.740
Dy: 0.000 0.642 0.000

=====

E / eV for the cell shown: -32.96 -119.90
Density of states at the Fermi level / states/eV per cell: 1.7 42.5
DFT formation energy / eV/f.u.: -2.99 11.25